DFT (PBE) results for a relaxed structure of NaSr3Sn.

Calculated values
- energy above the lowest structure with this stoichiometry (eV per atom) = 0.003
- size of the total moment (μB per formula unit) = 0.00
- formation energy from the elements (eV/atom) = -0.308
- energy (eV per cell) = -47.6

Cell: 8.7180 8.6624 11.4099 Å, 79.19 90.00 90.00°
Element x y z (fractional)
Na1 0.1944 0.0565 0.4667
Na2 0.8056 0.9435 0.5333
Na3 0.6944 0.9435 0.0333
Na4 0.3056 0.0565 0.9667
Sr1 0.0138 0.7914 0.2446
Sr2 0.9862 0.2086 0.7554
Sr3 0.5138 0.2086 0.2554
Sr4 0.4862 0.7914 0.7446
Sr5 0.5397 0.7109 0.3780
Sr6 0.4603 0.2891 0.6220
Sr7 0.0397 0.2891 0.1220
Sr8 0.9603 0.7109 0.8780
Sr9 0.1330 0.6283 0.5856
Sr10 0.8670 0.3717 0.4144
Sr11 0.6330 0.3717 0.9144
Sr12 0.3670 0.6283 0.0856
Sn1 0.7448 0.5556 0.1385
Sn2 0.2552 0.4444 0.8615
Sn3 0.2448 0.4444 0.3615
Sn4 0.7552 0.5556 0.6385

DFT (PBE) results for a relaxed structure of Na2SrSn6.

Calculated values
- energy above the lowest structure with this stoichiometry (eV per atom) = 0.025
- size of the total moment (μB per formula unit) = 0.00
- formation energy from the elements (eV/atom) = -0.215
- energy (eV per cell) = -30.3

Cell: 3.4468 9.6975 9.6975 Å, 60.74 68.92 68.92°
Element x y z (fractional)
Na1 0.3339 0.3333 0.3333
Na2 0.6661 0.6667 0.6667
Sr1 0.0000 0.0000 0.0000
Sn1 0.1627 0.0038 0.3338
Sn2 0.8372 0.9962 0.6662
Sn3 0.8372 0.6662 0.9962
Sn4 0.5000 0.3407 0.6593
Sn5 0.5000 0.6593 0.3407
Sn6 0.1627 0.3338 0.0038

DFT (PBE) results for a relaxed structure of NaSr2Sn2.

Calculated values
- energy above the lowest structure with this stoichiometry (eV per atom) = 0.000
- size of the total moment (μB per formula unit) = 0.00
- formation energy from the elements (eV/atom) = -0.508
- energy (eV per cell) = -30.5

Cell: 8.5325 8.5325 4.8345 Å, 90.00 90.00 90.00°
Element x y z (fractional)
Sr1 0.1706 0.6706 0.5000
Sr2 0.6706 0.8294 0.5000
Sr3 0.8294 0.3294 0.5000
Sr4 0.3294 0.1706 0.5000
Sn1 0.3773 0.8773 0.0000
Sn2 0.8773 0.6227 0.0000
Sn3 0.6227 0.1227 0.0000
Sn4 0.1227 0.3773 0.0000
Na1 0.0000 0.0000 0.0000
Na2 0.5000 0.5000 0.0000

DFT (PBE) results for a relaxed structure of Na2SrSn.

Calculated values
- size of the total moment (μB per formula unit) = 0.00
- formation energy from the elements (eV/atom) = -0.341
- energy (eV per cell) = -38.7

Cell: 5.4586 9.8029 10.0134 Å, 90.00 90.00 90.00°
Element x y z (fractional)
Na1 0.2500 0.7382 0.8187
Na2 0.2500 0.7618 0.3187
Na3 0.7500 0.2618 0.1813
Na4 0.7500 0.2382 0.6813
Na5 0.2500 0.5047 0.5764
Na6 0.2500 0.9953 0.0764
Na7 0.7500 0.4953 0.4236
Na8 0.7500 0.0047 0.9236
Sr1 0.2500 0.1324 0.4039
Sr2 0.2500 0.3676 0.9039
Sr3 0.7500 0.8676 0.5961
Sr4 0.7500 0.6324 0.0961
Sn1 0.2500 0.4455 0.2371
Sn2 0.2500 0.0545 0.7371
Sn3 0.7500 0.5545 0.7629
Sn4 0.7500 0.9455 0.2629

DFT (PBE) results for a relaxed structure of Na5Sr3Sn2.

Calculated values
- size of the total moment (μB per formula unit) = 0.00
- formation energy from the elements (eV/atom) = -0.200
- energy (eV per cell) = -43.3

Cell: 6.8867 10.9077 10.9077 Å, 90.68 71.60 71.60°
Element x y z (fractional)
Na1 0.2500 0.5000 0.5000
Na2 0.7500 0.5000 0.5000
Na3 0.5087 0.7413 0.7413
Na4 0.9913 0.2587 0.2587
Na5 0.4913 0.2587 0.2587
Na6 0.0087 0.7413 0.7413
Na7 0.1027 0.5581 0.2366
Na8 0.8973 0.4419 0.7634
Na9 0.6027 0.2366 0.5581
Na10 0.3973 0.7634 0.4419
Sr1 0.2500 0.0000 0.0000
Sr2 0.7500 0.0000 0.0000
Sr3 0.3611 0.3675 0.9103
Sr4 0.6389 0.6325 0.0897
Sr5 0.8611 0.9103 0.3675
Sr6 0.1389 0.0897 0.6325
Sn1 0.1431 0.7123 0.0015
Sn2 0.8569 0.2877 0.9985
Sn3 0.6431 0.0015 0.7123
Sn4 0.3569 0.9985 0.2877

DFT (PBE) results for a relaxed structure of Na2SrSn.

Calculated values
- size of the total moment (μB per formula unit) = 0.00
- formation energy from the elements (eV/atom) = -0.111
- energy (eV per cell) = -17.5

Cell: 4.8644 4.8644 12.5449 Å, 78.82 78.82 90.00°
Element x y z (fractional)
Sr1 0.5000 0.5000 0.0000
Sr2 0.2500 0.7500 0.5000
Sn1 0.0000 0.0000 0.0000
Sn2 0.7500 0.2500 0.5000
Na1 0.6780 0.1250 0.2500
Na2 0.0720 0.6250 0.2500
Na3 0.3750 0.3220 0.7500
Na4 0.8750 0.9280 0.7500